[1]
Below is an optimized crystal structure of Pr5Si2Ge5, with properties calculated at the GGA-PBE level.

a = 4.192 Å, b = 7.859 Å, c = 9.407 Å
α = 85.33°, β = 77.13°, γ = 74.53°
Fractional positions:
Pr  0.000  0.500  0.500
Pr  0.685  0.703  0.927
Pr  0.370  0.927  0.334
Pr  0.630  0.073  0.666
Pr  0.315  0.297  0.073
Si  0.381  0.476  0.762
Si  0.619  0.524  0.238
Ge  0.709  0.229  0.352
Ge  0.943  0.301  0.814
Ge  0.057  0.699  0.186
Ge  0.291  0.771  0.648
Ge  0.000  0.000  0.000

Values from the calculation:
As for the total magnetization: 0.00 μB/cell. The value obtained for the uncorrected formation energy is -0.714 eV per atom.

[2]
Below is an optimized crystal structure of Pr2Si3Ge, with properties calculated at the GGA-PBE level.

a = 4.230 Å, b = 4.026 Å, c = 7.700 Å
α = 90.00°, β = 90.00°, γ = 90.00°
Fractional positions:
Pr  0.000  0.500  0.994
Pr  0.000  0.000  0.510
Si  0.500  0.000  0.836
Si  0.500  0.000  0.150
Si  0.500  0.500  0.672
Ge  0.500  0.500  0.337

Values from the calculation:
As for the total magnetization: 0.00 μB/cell. The value obtained for the uncorrected formation energy is -0.569 eV per atom.